DFT (PBE) results for a relaxed MgInCoSn crystal.

## Properties
Calculated total energy = -3.66 eV per atom
SG = F-43m, No. 216
Excess energy over the best structure of this formula in the dataset = 0.0000 eV/atom

Lattice parameters (Å, degrees): 4.7278 4.7278 4.7278 60.00 60.00 60.00
Last column: nearest neighbours and their distance in Å.
Fractional coordinates of all 4 atoms:
Co: 0.2500 0.2500 0.2500  4 In 2.90, 4 Sn 2.90
In: 0.0000 0.0000 0.0000  4 Co 2.90, 4 Mg 2.90
Mg: 0.7500 0.7500 0.7500  4 Sn 2.90, 4 In 2.90
Sn: 0.5000 0.5000 0.5000  4 Mg 2.90, 4 Co 2.90

DFT (PBE) results for a relaxed Ba3Zn2P4Au2 crystal.

## Properties
Calculated total energy = -4.07 eV per atom
SG = P-3m1, No. 164

Lattice parameters (Å, degrees): 4.3522 4.3522 16.6639 90.00 90.00 120.00
Last column: nearest neighbours and their distance in Å.
Fractional coordinates of all 11 atoms:
Au: 0.3333 0.6667 0.1409  3 P 2.51
Au: 0.6667 0.3333 0.8591  3 P 2.51
Ba: 0.0000 0.0000 0.0000  6 P 3.43, 6 Au 3.44
Ba: 0.0000 0.0000 0.2820  6 P 3.25-3.45, 3 Au 3.44
Ba: 0.0000 0.0000 0.7180  6 P 3.25-3.45, 3 Au 3.44
P: 0.6667 0.3333 0.1398  3 Au 2.51
P: 0.3333 0.6667 0.4059  4 Zn 2.49-2.60
P: 0.6667 0.3333 0.5941  4 Zn 2.49-2.60
P: 0.3333 0.6667 0.8602  3 Au 2.51
Zn: 0.6667 0.3333 0.4450  4 P 2.49-2.60
Zn: 0.3333 0.6667 0.5550  4 P 2.49-2.60

DFT (PBE) results for a relaxed KZrTe3Au crystal.

## Properties
Calculated total energy = -4.42 eV per atom
SG = Pnma, No. 62

Lattice parameters (Å, degrees): 13.4054 4.3830 13.8549 90.00 90.00 90.00
Last column: nearest neighbours and their distance in Å.
Fractional coordinates of all 24 atoms:
Au: 0.7208 0.5000 0.1885  3 Te 2.66-2.68
Au: 0.2208 0.0000 0.3115  3 Te 2.66-2.68
Au: 0.7792 0.5000 0.6885  3 Te 2.66-2.68
Au: 0.2792 0.0000 0.8115  3 Te 2.66-2.68
K: 0.9316 0.0000 0.2111  2 Au 3.59, 7 Te 3.59-3.95
K: 0.4316 0.5000 0.2889  2 Au 3.59, 7 Te 3.59-3.95
K: 0.5684 0.0000 0.7111  2 Au 3.59, 7 Te 3.59-3.95
K: 0.0684 0.5000 0.7889  2 Au 3.59, 7 Te 3.59-3.95
Te: 0.8145 0.5000 0.0176  1 Au 2.68
Te: 0.4316 0.0000 0.0713  3 Zr 3.00-3.06
Te: 0.1427 0.5000 0.2334  2 Au 2.66
Te: 0.6427 0.0000 0.2666  2 Au 2.66
Te: 0.9316 0.5000 0.4287  3 Zr 3.00-3.06
Te: 0.3145 0.0000 0.4824  1 Au 2.68
Te: 0.6855 0.5000 0.5176  1 Au 2.68
Te: 0.0684 0.0000 0.5713  3 Zr 3.00-3.06
Te: 0.3573 0.5000 0.7334  2 Au 2.66
Te: 0.8573 0.0000 0.7666  2 Au 2.66
Te: 0.5684 0.5000 0.9287  3 Zr 3.00-3.06
Te: 0.1855 0.0000 0.9824  1 Au 2.68
Zr: 0.6584 0.0000 0.0478  6 Te 3.00-3.06, 2 Au 3.05
Zr: 0.1584 0.5000 0.4522  6 Te 3.00-3.06, 2 Au 3.05
Zr: 0.8416 0.0000 0.5478  6 Te 3.00-3.06, 2 Au 3.05
Zr: 0.3416 0.5000 0.9522  6 Te 3.00-3.06, 2 Au 3.05

Question: calculated total energy of number 3 (KZrTe3Au)?
Answer: -4.42 eV per atom

What did the second record say?
DFT (PBE) results for a relaxed Ba3Zn2P4Au2 crystal.

## Properties
Calculated total energy = -4.07 eV per atom
SG = P-3m1, No. 164

Lattice parameters (Å, degrees): 4.3522 4.3522 16.6639 90.00 90.00 120.00
Last column: nearest neighbours and their distance in Å.
Fractional coordinates of all 11 atoms:
Au: 0.3333 0.6667 0.1409  3 P 2.51
Au: 0.6667 0.3333 0.8591  3 P 2.51
Ba: 0.0000 0.0000 0.0000  6 P 3.43, 6 Au 3.44
Ba: 0.0000 0.0000 0.2820  6 P 3.25-3.45, 3 Au 3.44
Ba: 0.0000 0.0000 0.7180  6 P 3.25-3.45, 3 Au 3.44
P: 0.6667 0.3333 0.1398  3 Au 2.51
P: 0.3333 0.6667 0.4059  4 Zn 2.49-2.60
P: 0.6667 0.3333 0.5941  4 Zn 2.49-2.60
P: 0.3333 0.6667 0.8602  3 Au 2.51
Zn: 0.6667 0.3333 0.4450  4 P 2.49-2.60
Zn: 0.3333 0.6667 0.5550  4 P 2.49-2.60